# 1
Computed, not measured: crystalline LaTaCd2 at its relaxed geometry at the PBE-GGA level of DFT.

The structure in CIF format:
```
data_LaTaCd2
_cell_length_a 5.545
_cell_length_b 5.545
_cell_length_c 3.070
_cell_angle_alpha 90.00
_cell_angle_beta 90.00
_cell_angle_gamma 90.00
_symmetry_space_group_name_H-M 'P 4/m m m'
_symmetry_Int_Tables_number 123
_symmetry_space_group_name_Hall '-P 4 2'
loop_
_atom_site_label
_atom_site_fract_x
_atom_site_fract_y
_atom_site_fract_z
_atom_site_occupancy
La1 0.000 0.000 0.000 1
Ta1 0.500 0.500 0.000 1
Cd1 0.000 0.500 0.500 1
```

Output
ρ: 9.583 g cm⁻³
energy of formation: 0.346 eV/atom
crystal system: tetragonal

# 2
Computed, not measured: crystalline La2TaCd at its relaxed geometry at the PBE-GGA level of DFT.

The structure in CIF format:
```
data_La2TaCd
_cell_length_a 3.367
_cell_length_b 4.080
_cell_length_c 7.743
_cell_angle_alpha 90.00
_cell_angle_beta 90.00
_cell_angle_gamma 90.00
_symmetry_space_group_name_H-M 'P m m 2'
_symmetry_Int_Tables_number 25
loop_
_symmetry_equiv_pos_as_xyz
'x,y,z'
'-x,-y,z'
'-x,y,z'
'x,-y,z'
loop_
_atom_site_label
_atom_site_fract_x
_atom_site_fract_y
_atom_site_fract_z
_atom_site_occupancy
La1 0.000 0.000 0.000 1
La2 0.500 0.500 0.311 1
Ta1 0.000 0.000 0.561 1
Cd1 0.500 0.500 0.741 1
```

Output
ρ: 8.916 g cm⁻³
energy of formation: 0.310 eV/atom
crystal system: orthorhombic

# 3
Computed, not measured: crystalline LaTaCd at its relaxed geometry at the PBE-GGA level of DFT.

The structure in CIF format:
```
data_LaTaCd
_cell_length_a 3.1311
_cell_length_b 3.1311
_cell_length_c 8.3679
_cell_angle_alpha 90.00
_cell_angle_beta 90.00
_cell_angle_gamma 120.00
_symmetry_space_group_name_H-M 'P 3 m 1'
_symmetry_Int_Tables_number 156
loop_
_symmetry_equiv_pos_as_xyz
'x,y,z'
'-y,x-y,z'
'-x+y,-x,z'
'-y,-x,z'
'-x+y,y,z'
'x,x-y,z'
loop_
_atom_site_label
_atom_site_fract_x
_atom_site_fract_y
_atom_site_fract_z
_atom_site_occupancy
La1 0.0000 0.0000 0.0000 1
Ta1 0.6667 0.3333 0.3326 1
Cd1 0.3333 0.6667 0.6298 1
```

Output
ρ: 10.103 g cm⁻³
energy of formation: 0.399 eV/atom
crystal system: trigonal

# 4
Computed, not measured: crystalline La2TaCdW at its relaxed geometry at the PBE-GGA level of DFT.

The structure in CIF format:
```
data_La2TaCdW
_cell_length_a 5.792
_cell_length_b 5.792
_cell_length_c 4.776
_cell_angle_alpha 90.00
_cell_angle_beta 90.00
_cell_angle_gamma 90.00
_symmetry_space_group_name_H-M 'P 4/m m m'
_symmetry_Int_Tables_number 123
_symmetry_space_group_name_Hall '-P 4 2'
loop_
_atom_site_label
_atom_site_fract_x
_atom_site_fract_y
_atom_site_fract_z
_atom_site_occupancy
La1 0.000 0.500 0.000 1
Ta1 0.000 0.000 0.000 1
Cd1 0.500 0.500 0.500 1
W1 0.000 0.000 0.500 1
```

Output
ρ: 7.823 g cm⁻³
energy of formation: 0.964 eV/atom
crystal system: tetragonal

# 5
Computed, not measured: crystalline LaTaZn2Cd at its relaxed geometry at the PBE-GGA level of DFT.

The structure in CIF format:
```
data_LaTaZn2Cd
_cell_length_a 5.183
_cell_length_b 5.183
_cell_length_c 5.286
_cell_angle_alpha 90.00
_cell_angle_beta 90.00
_cell_angle_gamma 90.00
_symmetry_space_group_name_H-M 'P 4/m m m'
_symmetry_Int_Tables_number 123
_symmetry_space_group_name_Hall '-P 4 2'
loop_
_atom_site_label
_atom_site_fract_x
_atom_site_fract_y
_atom_site_fract_z
_atom_site_occupancy
La1 0.000 0.000 0.000 1
Ta1 0.000 0.000 0.500 1
Zn1 0.000 0.500 0.500 1
Cd1 0.500 0.500 0.000 1
```

Output
ρ: 6.584 g cm⁻³
energy of formation: 0.706 eV/atom
crystal system: tetragonal

# 6
Computed, not measured: crystalline La12Tb3Cd at its relaxed geometry at the PBE-GGA level of DFT.

The structure in CIF format:
```
data_La12Tb3Cd
_cell_length_a 5.173
_cell_length_b 5.173
_cell_length_c 20.833
_cell_angle_alpha 90.00
_cell_angle_beta 90.00
_cell_angle_gamma 90.00
_symmetry_space_group_name_H-M 'P 4/m m m'
_symmetry_Int_Tables_number 123
_symmetry_space_group_name_Hall '-P 4 2'
loop_
_atom_site_label
_atom_site_fract_x
_atom_site_fract_y
_atom_site_fract_z
_atom_site_occupancy
La1 0.000 0.000 0.000 1
La2 0.000 0.000 0.248 1
La3 0.000 0.000 0.500 1
La4 0.000 0.500 0.122 1
La5 0.000 0.500 0.374 1
Tb1 0.500 0.500 0.247 1
Tb2 0.500 0.500 0.500 1
Cd1 0.500 0.500 0.000 1
```

Output
ρ: 6.719 g cm⁻³
energy of formation: -0.022 eV/atom
crystal system: tetragonal

# 7
Computed, not measured: crystalline LaTb4Cd at its relaxed geometry at the PBE-GGA level of DFT.

The structure in CIF format:
```
data_LaTb4Cd
_cell_length_a 5.454
_cell_length_b 12.353
_cell_length_c 11.120
_cell_angle_alpha 90.00
_cell_angle_beta 90.00
_cell_angle_gamma 90.00
_symmetry_space_group_name_H-M 'C m c 21'
_symmetry_Int_Tables_number 36
loop_
_symmetry_equiv_pos_as_xyz
'x,y,z'
'-x,-y,z+1/2'
'-x,y,z'
'x,-y,z+1/2'
'x+1/2,y+1/2,z'
'-x+1/2,-y+1/2,z+1/2'
'-x+1/2,y+1/2,z'
'x+1/2,-y+1/2,z+1/2'
loop_
_atom_site_label
_atom_site_fract_x
_atom_site_fract_y
_atom_site_fract_z
_atom_site_occupancy
La1 0.000 0.181 0.000 1
Tb1 0.000 0.024 0.713 1
Tb2 0.000 0.174 0.431 1
Tb3 0.000 0.320 0.716 1
Tb4 0.000 0.493 0.976 1
Cd1 0.000 0.354 0.230 1
```

Output
ρ: 7.864 g cm⁻³
energy of formation: -0.054 eV/atom
crystal system: orthorhombic

# 8
Computed, not measured: crystalline LaTb2Cd2 at its relaxed geometry at the PBE-GGA level of DFT.

The structure in CIF format:
```
data_LaTb2Cd2
_cell_length_a 5.043
_cell_length_b 5.043
_cell_length_c 25.126
_cell_angle_alpha 90.00
_cell_angle_beta 90.00
_cell_angle_gamma 90.00
_symmetry_space_group_name_H-M 'I 4/m m m'
_symmetry_Int_Tables_number 139
_symmetry_space_group_name_Hall '-I 4 2'
loop_
_atom_site_label
_atom_site_fract_x
_atom_site_fract_y
_atom_site_fract_z
_atom_site_occupancy
La1 0.000 0.000 0.124 1
Tb1 0.000 0.000 0.429 1
Tb2 0.000 0.500 0.250 1
Cd1 0.000 0.000 0.317 1
Cd2 0.000 0.500 0.000 1
```

Output
ρ: 7.086 g cm⁻³
energy of formation: -0.029 eV/atom
crystal system: tetragonal

Ordered volume results: 94.4; 106.4; 71.0; 160.3; 142.0; 557.6; 749.2; 638.9; unit Å³ per cell.